No. 1
Compound: K2TlPtF8
Source: the Alexandria database
Functional: PBE
Structure: relaxed

Computed properties:
ρ = 4.81 g/cm³
E_form (uncorrected) = -1.8371 eV/atom
Calculated volume = 217 Å³/cell
Raw total energy = -3.968 eV/atom
SG = P-3m1 (164)

a b c (Å): 5.555 5.555 8.127
angles (deg): 90.00 90.00 120.00
Atoms (fractional coordinates):
K1 0.333 0.667 0.310
K2 0.667 0.333 0.690
Tl1 0.000 0.000 0.000
Pt1 0.000 0.000 0.500
F1 0.161 0.323 0.647
F2 0.161 0.839 0.647
F3 0.323 0.161 0.353
F4 0.333 0.667 0.999
F5 0.667 0.333 0.001
F6 0.677 0.839 0.647
F7 0.839 0.161 0.353
F8 0.839 0.677 0.353


No. 2
Compound: K3PuF8
Source: the Alexandria database
Functional: PBE
Structure: relaxed

Computed properties:
ρ = 4.02 g/cm³
E_form (uncorrected) = -3.0585 eV/atom
Calculated volume = 212 Å³/cell
Raw total energy = -5.775 eV/atom
SG = I4/mmm (139)

a b c (Å): 7.272 7.272 7.272
angles (deg): 131.34 131.34 71.27
Atoms (fractional coordinates):
K1 0.000 0.000 0.000
K2 0.250 0.750 0.500
K3 0.750 0.250 0.500
Pu1 0.500 0.500 0.000
F1 0.180 0.180 0.576
F2 0.180 0.604 0.000
F3 0.396 0.396 0.576
F4 0.396 0.820 0.000
F5 0.604 0.180 0.000
F6 0.604 0.604 0.424
F7 0.820 0.396 0.000
F8 0.820 0.820 0.424


No. 3
Compound: K5Pu3F12
Source: the Alexandria database
Functional: PBE
Structure: relaxed

Computed properties:
ρ = 4.90 g/cm³
E_form (uncorrected) = -2.9174 eV/atom
Calculated volume = 1566 Å³/cell
Raw total energy = -6.464 eV/atom
SG = Ia-3d (230)

a b c (Å): 12.672 12.672 12.672
angles (deg): 109.47 109.47 109.47
Atoms (fractional coordinates):
K1 0.000 0.000 0.000
K2 0.000 0.000 0.500
K3 0.000 0.500 0.000
K4 0.000 0.500 0.500
K5 0.125 0.750 0.875
K6 0.125 0.875 0.250
K7 0.250 0.125 0.875
K8 0.250 0.625 0.375
K9 0.375 0.250 0.625
K10 0.375 0.625 0.750
K11 0.500 0.000 0.000
K12 0.500 0.000 0.500
K13 0.500 0.500 0.000
K14 0.500 0.500 0.500
K15 0.625 0.375 0.250
K16 0.625 0.750 0.375
K17 0.750 0.375 0.625
K18 0.750 0.875 0.125
K19 0.875 0.125 0.750
K20 0.875 0.250 0.125
Pu1 0.125 0.250 0.375
Pu2 0.125 0.375 0.750
Pu3 0.250 0.375 0.125
Pu4 0.250 0.875 0.625
Pu5 0.375 0.125 0.250
Pu6 0.375 0.750 0.125
Pu7 0.625 0.250 0.875
Pu8 0.625 0.875 0.750
Pu9 0.750 0.125 0.375
Pu10 0.750 0.625 0.875
Pu11 0.875 0.625 0.250
Pu12 0.875 0.750 0.625
F1 0.068 0.637 0.396
F2 0.068 0.931 0.672
F3 0.069 0.241 0.137
F4 0.069 0.328 0.932
F5 0.104 0.741 0.672
F6 0.104 0.863 0.432
F7 0.137 0.069 0.241
F8 0.137 0.568 0.896
F9 0.172 0.241 0.604
F10 0.172 0.431 0.568
F11 0.241 0.137 0.069
F12 0.241 0.604 0.172
F13 0.259 0.328 0.896
F14 0.259 0.431 0.363
F15 0.328 0.896 0.259
F16 0.328 0.932 0.069
F17 0.363 0.259 0.431
F18 0.363 0.604 0.932
F19 0.396 0.068 0.637
F20 0.396 0.828 0.759
F21 0.431 0.363 0.259
F22 0.431 0.568 0.172
F23 0.432 0.104 0.863
F24 0.432 0.828 0.569
F25 0.568 0.172 0.431
F26 0.568 0.896 0.137
F27 0.569 0.432 0.828
F28 0.569 0.637 0.741
F29 0.604 0.172 0.241
F30 0.604 0.932 0.363
F31 0.637 0.396 0.068
F32 0.637 0.741 0.569
F33 0.672 0.068 0.931
F34 0.672 0.104 0.741
F35 0.741 0.569 0.637
F36 0.741 0.672 0.104
F37 0.759 0.396 0.828
F38 0.759 0.863 0.931
F39 0.828 0.569 0.432
F40 0.828 0.759 0.396
F41 0.863 0.432 0.104
F42 0.863 0.931 0.759
F43 0.896 0.137 0.568
F44 0.896 0.259 0.328
F45 0.931 0.672 0.068
F46 0.931 0.759 0.863
F47 0.932 0.069 0.328
F48 0.932 0.363 0.604